VASP calculation (PBE) on a geometry-optimized YRh2Pb structure.

The structure in extended XYZ format:
```
12
Lattice="3.406 0.000 0.000 -1.703 2.950 0.000 0.000 0.000 24.957" Properties=species:S:1:pos:R:3 pbc="T T T"
Y 0.000 0.000 0.000
Y 0.000 1.967 16.638
Y 1.703 0.983 8.319
Rh 0.000 0.000 6.233
Rh 0.000 0.000 18.724
Rh 0.000 1.967 10.405
Rh 0.000 1.967 22.871
Rh 1.703 0.983 2.086
Rh 1.703 0.983 14.552
Pb 0.000 0.000 12.478
Pb 0.000 1.967 4.160
Pb 1.703 0.983 20.797
```

Calculated formation energy   -143 meV/atom
DFT total energy   -76.3 eV per cell
Size of the total moment   0.00 Bohr magnetons per cell